(1)
Crystalline EuBO3 at its relaxed geometry. Source: the Alexandria database, functional PBEsol.

Its space group is Ama2, No. 40. The total energy comes out at -46.87 eV/f.u. The crystal system is orthorhombic. The calculation puts the energy relative to the elements, uncorrected at -2708 meV per atom.

Lattice parameters (Å, degrees): 8.898 3.925 3.925 116.38 90.00 90.00
Element x y z (fractional)
Eu1 0.000 0.000 0.000
Eu2 0.500 0.000 0.000
B1 0.250 0.524 0.258
B2 0.750 0.258 0.524
O1 0.108 0.686 0.350
O2 0.250 0.136 0.035
O3 0.392 0.686 0.350
O4 0.608 0.350 0.686
O5 0.750 0.035 0.136
O6 0.892 0.350 0.686

---

(2)
Crystalline EuB4O7 at its relaxed geometry. Source: the Alexandria database, functional PBEsol.

Its space group is Pmn2_1, No. 31. The total energy comes out at -107.22 eV/f.u. The crystal system is orthorhombic. The calculation puts the energy relative to the elements, uncorrected at -2653 meV per atom.

Lattice parameters (Å, degrees): 10.718 4.421 4.230 90.00 90.00 90.00
Element x y z (fractional)
Eu1 0.000 0.211 0.000
Eu2 0.500 0.789 0.500
B1 0.121 0.674 0.473
B2 0.249 0.823 0.996
B3 0.251 0.177 0.496
B4 0.379 0.326 0.973
B5 0.621 0.326 0.973
B6 0.749 0.177 0.496
B7 0.751 0.823 0.996
B8 0.879 0.674 0.473
O1 0.000 0.775 0.582
O2 0.135 0.727 0.135
O3 0.141 0.356 0.546
O4 0.223 0.867 0.639
O5 0.277 0.133 0.139
O6 0.359 0.644 0.046
O7 0.365 0.273 0.635
O8 0.500 0.225 0.082
O9 0.635 0.273 0.635
O10 0.641 0.644 0.046
O11 0.723 0.133 0.139
O12 0.777 0.867 0.639
O13 0.859 0.356 0.546
O14 0.865 0.727 0.135

---

(3)
Crystalline Eu2B5Os3 at its relaxed geometry. Source: the Alexandria database, functional PBEsol.

Its space group is C2, No. 5. For the formation energy, the calculation gives -0.41 eV/atom. The total energy comes out at -97.00 eV/f.u. The crystal system is monoclinic.

Lattice parameters (Å, degrees): 5.664 5.664 8.066 122.99 122.99 41.77
Element x y z (fractional)
Eu1 0.166 0.166 0.264
Eu2 0.834 0.834 0.736
B1 0.139 0.150 0.811
B2 0.493 0.507 0.000
B3 0.697 0.263 0.383
B4 0.737 0.303 0.617
B5 0.850 0.861 0.189
Os1 0.211 0.789 0.500
Os2 0.348 0.387 0.097
Os3 0.613 0.652 0.903

---

(4)
Crystalline EuBPd3 at its relaxed geometry. Source: the Alexandria database, functional PBEsol.

Its space group is Pm-3m, No. 221. For the formation energy, the calculation gives -0.52 eV/atom. The total energy comes out at -38.05 eV/f.u. The crystal system is cubic.

Lattice parameters (Å, degrees): 4.294 4.294 4.294 90.00 90.00 90.00
Element x y z (fractional)
Eu1 0.000 0.000 0.000
B1 0.500 0.500 0.500
Pd1 0.000 0.500 0.500
Pd2 0.500 0.000 0.500
Pd3 0.500 0.500 0.000

---

(5)
Crystalline EuBRh3 at its relaxed geometry. Source: the Alexandria database, functional PBEsol.

Its space group is Pm-3m, No. 221. For the formation energy, the calculation gives -0.49 eV/atom. The total energy comes out at -44.44 eV/f.u. The crystal system is cubic.

Lattice parameters (Å, degrees): 4.179 4.179 4.179 90.00 90.00 90.00
Element x y z (fractional)
Eu1 0.000 0.000 0.000
B1 0.500 0.500 0.500
Rh1 0.000 0.500 0.500
Rh2 0.500 0.000 0.500
Rh3 0.500 0.500 0.000

---

(6)
Crystalline Eu2B4Rh5 at its relaxed geometry. Source: the Alexandria database, functional PBEsol.

Its space group is Fmmm, No. 69. For the formation energy, the calculation gives -0.68 eV/atom. The total energy comes out at -97.32 eV/f.u. The crystal system is orthorhombic.

Lattice parameters (Å, degrees): 7.438 6.212 5.620 77.72 54.69 47.59
Element x y z (fractional)
Eu1 0.142 0.142 0.858
Eu2 0.858 0.858 0.142
B1 0.210 0.530 0.470
B2 0.470 0.790 0.210
B3 0.530 0.210 0.790
B4 0.790 0.470 0.530
Rh1 0.000 0.000 0.500
Rh2 0.250 0.250 0.250
Rh3 0.500 0.500 0.000
Rh4 0.500 0.500 0.500
Rh5 0.750 0.750 0.750

---

(7)
Crystalline EuB4Ru4 at its relaxed geometry. Source: the Alexandria database, functional PBEsol.

Its space group is I4_1/acd, No. 142. For the formation energy, the calculation gives -0.40 eV/atom. The total energy comes out at -82.88 eV/f.u. The crystal system is tetragonal.

Lattice parameters (Å, degrees): 9.151 9.151 9.151 132.07 132.07 70.12
Element x y z (fractional)
Eu1 0.125 0.375 0.750
Eu2 0.375 0.125 0.250
Eu3 0.625 0.875 0.750
Eu4 0.875 0.625 0.250
B1 0.064 0.123 0.275
B2 0.123 0.348 0.059
B3 0.152 0.377 0.441
B4 0.211 0.936 0.559
B5 0.289 0.848 0.725
B6 0.348 0.789 0.225
B7 0.377 0.436 0.225
B8 0.436 0.711 0.059
B9 0.564 0.289 0.941
B10 0.623 0.564 0.775
B11 0.652 0.211 0.775
B12 0.711 0.152 0.275
B13 0.789 0.064 0.441
B14 0.848 0.623 0.559
B15 0.877 0.652 0.941
B16 0.936 0.877 0.725
Ru1 0.040 0.821 0.987
Ru2 0.053 0.040 0.719
Ru3 0.166 0.679 0.719
Ru4 0.179 0.666 0.219
Ru5 0.321 0.540 0.487
Ru6 0.334 0.053 0.513
Ru7 0.447 0.166 0.987
Ru8 0.460 0.447 0.781
Ru9 0.540 0.553 0.219
Ru10 0.553 0.834 0.013
Ru11 0.666 0.947 0.487
Ru12 0.679 0.460 0.513
Ru13 0.821 0.334 0.781
Ru14 0.834 0.321 0.281
Ru15 0.947 0.960 0.281
Ru16 0.960 0.179 0.013

---

(8)
Crystalline SmEuB12 at its relaxed geometry. Source: the Alexandria database, functional PBEsol.

Its space group is Fm-3m, No. 225. For the formation energy, the calculation gives -0.49 eV/atom. The total energy comes out at -106.75 eV/f.u. The crystal system is cubic.

Lattice parameters (Å, degrees): 5.814 5.814 5.814 60.00 60.00 60.00
Element x y z (fractional)
Sm1 0.000 0.000 0.000
Eu1 0.500 0.500 0.500
B1 0.100 0.100 0.400
B2 0.100 0.400 0.100
B3 0.100 0.400 0.400
B4 0.400 0.100 0.100
B5 0.400 0.100 0.400
B6 0.400 0.400 0.100
B7 0.600 0.600 0.900
B8 0.600 0.900 0.600
B9 0.600 0.900 0.900
B10 0.900 0.600 0.600
B11 0.900 0.600 0.900
B12 0.900 0.900 0.600

---

> Among the records above, which one has the highest total energy?

EuBPd3